1.
## MgGeBi2 (PBE)

Data for a relaxed MgGeBi2 crystal.

**V**: 105 Å³ per cell
**SG**: P4/mmm (123)
**D(E_F)**: 0.42 states/eV/atom

abc: 5.1059 5.1059 4.0262
angles: 90.00 90.00 90.00
With the nearest neighbours (Å) after each atom.
Fractional positions:
1 Mg 0.0000 0.0000 0.0000  8 Bi 3.25, 4 Ge 3.61
2 Ge 0.5000 0.5000 0.0000  8 Bi 3.25, 4 Mg 3.61
3 Bi 0.0000 0.5000 0.5000  4 Ge 3.25, 4 Mg 3.25, 4 Bi 3.61
4 Bi 0.5000 0.0000 0.5000  4 Ge 3.25, 4 Mg 3.25, 4 Bi 3.61

---

2.
## Ba5NaIn (PBE)

Data for a relaxed Ba5NaIn crystal.

**V**: 722 Å³ per cell
**SG**: C2/c (15)
**D(E_F)**: 1.37 states/eV/atom

abc: 6.6861 6.6861 16.3398
angles: 90.17 90.17 81.29
With the nearest neighbours (Å) after each atom.
Fractional positions:
1 Ba 0.0325 0.9675 0.7500  1 Na 3.73, 2 In 4.09, 8 Ba 4.12-4.17
2 Ba 0.1320 0.4472 0.6062  2 In 3.67-4.06, 1 Na 3.90, 1 Ba 3.91
3 Ba 0.1343 0.4487 0.8946  2 In 3.69-4.04, 2 Ba 3.90-4.12, 1 Na 3.91
4 Ba 0.4472 0.1320 0.1062  2 In 3.67-4.06, 1 Na 3.90, 1 Ba 3.91
5 Ba 0.4487 0.1343 0.3946  2 In 3.69-4.04, 2 Ba 3.90-4.12, 1 Na 3.91
6 Ba 0.5513 0.8657 0.6054  2 In 3.69-4.04, 2 Ba 3.90-4.12, 1 Na 3.91
7 Ba 0.5528 0.8680 0.8938  2 In 3.67-4.06, 1 Na 3.90, 1 Ba 3.91
8 Ba 0.8657 0.5513 0.1054  2 In 3.69-4.04, 2 Ba 3.90-4.12, 1 Na 3.91
9 Ba 0.8680 0.5528 0.3938  2 In 3.67-4.06, 1 Na 3.90, 1 Ba 3.91
10 Ba 0.9675 0.0325 0.2500  1 Na 3.73, 2 In 4.09, 8 Ba 4.12-4.17
11 Na 0.3960 0.6040 0.2500  5 Ba 3.73-3.91
12 Na 0.6040 0.3960 0.7500  5 Ba 3.73-3.91
13 In 0.0000 0.0000 0.0000  10 Ba 3.67-4.09
14 In 0.0000 0.0000 0.5000  10 Ba 3.67-4.09

---

Number 1: total energy -3.394 eV per atom. Number 2: total energy -1.986 eV per atom.